First-principles (GGA-PBE) data for an optimized crystal structure of Cs6K2HgO, as listed in Alexandria.

Cell lengths 9.6516, 9.6517, 10.5432 Å; angles 117.30, 117.32, 90.01 degrees
Fractional positions:
Cs  0.7186  0.7190  0.4375
K  0.2690  0.7708  0.5388
Cs  0.2141  0.2146  0.4274
Cs  0.2114  0.8009  0.0117
O  0.0405  0.0410  0.0810
Cs  0.8003  0.2118  0.0117
Hg  0.4635  0.4641  0.9285
Cs  0.8000  0.8004  0.0109
K  0.7704  0.2694  0.5388
Cs  0.2113  0.2118  0.0118

Results
Crystal system: monoclinic
Fermi-level density of states, states/eV/atom: 0.84
Total energy, eV per cell: -15.810
E_form (uncorrected), meV/atom: -323.4